[1]
Entry from the Alexandria database: a relaxed MgCuRu2 crystal (PBE-GGA).

Lattice parameters (Å, degrees): 2.7173 4.4407 4.8475 90.00 98.43 90.00
Last column: nearest neighbours and their distance in Å.
Atoms (fractional coordinates):
Mg 0.0000 0.0000 0.0000  2 Cu 2.60, 2 Mg 2.72, 4 Ru 2.75
Cu 0.5000 0.0000 0.5000  4 Ru 2.59, 2 Mg 2.60, 2 Cu 2.72
Ru 0.3052 0.5000 0.7370  2 Cu 2.59, 5 Ru 2.61-2.72, 2 Mg 2.75
Ru 0.6948 0.5000 0.2630  2 Cu 2.59, 5 Ru 2.61-2.72, 2 Mg 2.75

Output
- Fermi-level density of states (states/eV per atom) = 1.31
- space group = P2/m, No. 10
- DFT total energy (eV per atom) = -5.83
- DFT formation energy (eV per atom) = 0.226


[2]
Entry from the Alexandria database: a relaxed Mg2CuRu crystal (PBE-GGA).

Lattice parameters (Å, degrees): 5.1712 5.1712 4.6424 109.59 109.59 32.93
Last column: nearest neighbours and their distance in Å.
Atoms (fractional coordinates):
Mg 0.0000 0.0000 0.0000  4 Ru 2.74-2.79, 3 Cu 2.75-2.80, 3 Mg 2.93-2.98
Mg 0.2185 0.2185 0.6328  4 Cu 2.73-2.79, 3 Ru 2.77-2.79, 3 Mg 2.93-2.98
Cu 0.7492 0.7492 0.1483  2 Ru 2.62, 7 Mg 2.73-2.80, 2 Cu 2.93
Ru 0.4667 0.4667 0.4811  2 Cu 2.62, 7 Mg 2.74-2.79, 2 Ru 2.93

Output
- Fermi-level density of states (states/eV per atom) = 0.61
- space group = Cm, No. 8
- DFT total energy (eV per atom) = -4.11
- DFT formation energy (eV per atom) = 0.026


[3]
Entry from the Alexandria database: a relaxed MgCu3Ru crystal (PBE-GGA).

Lattice parameters (Å, degrees): 4.6082 4.6082 4.6082 90.00 90.00 90.00
Last column: nearest neighbours and their distance in Å.
Atoms (fractional coordinates):
Mg 0.0000 0.0000 0.0000  12 Cu 3.26
Cu 0.0000 0.5000 0.5000  2 Ru 2.30
Cu 0.5000 0.0000 0.5000  2 Ru 2.30
Cu 0.5000 0.5000 0.0000  2 Ru 2.30
Ru 0.5000 0.5000 0.5000  6 Cu 2.30

Output
- excess energy over the best structure of this formula in the dataset (meV per atom) = 0
- Fermi-level density of states (states/eV per atom) = 0.94
- space group = Pm-3m, No. 221
- DFT total energy (eV per atom) = -3.65
- DFT formation energy (eV per atom) = 0.985


[4]
Entry from the Alexandria database: a relaxed MgCuRu2 crystal (PBE-GGA).

Lattice parameters (Å, degrees): 4.9380 4.9380 4.9380 135.93 135.93 64.09
Last column: nearest neighbours and their distance in Å.
Atoms (fractional coordinates):
Mg 0.0000 0.0000 0.0000  4 Cu 2.62, 8 Ru 2.80
Cu 0.5000 0.5000 0.0000  4 Mg 2.62, 8 Ru 2.80
Ru 0.2500 0.7500 0.5000  4 Ru 2.62, 4 Cu 2.80, 4 Mg 2.80
Ru 0.7500 0.2500 0.5000  4 Ru 2.62, 4 Cu 2.80, 4 Mg 2.80

Output
- Fermi-level density of states (states/eV per atom) = 1.43
- space group = I4/mmm, No. 139
- DFT total energy (eV per atom) = -5.80
- DFT formation energy (eV per atom) = 0.265


[5]
Entry from the Alexandria database: a relaxed MgCuRu2 crystal (PBE-GGA).

Lattice parameters (Å, degrees): 4.4828 4.4828 4.4828 126.39 126.39 79.25
Last column: nearest neighbours and their distance in Å.
Atoms (fractional coordinates):
Mg 0.0000 0.0000 0.0000  8 Ru 2.66-2.86, 4 Cu 2.66
Cu 0.7500 0.2500 0.5000  4 Mg 2.66, 8 Ru 2.66-2.86
Ru 0.2500 0.7500 0.5000  4 Mg 2.66, 4 Ru 2.66, 4 Cu 2.86
Ru 0.5000 0.5000 0.0000  4 Cu 2.66, 4 Ru 2.66, 4 Mg 2.86

Output
- Fermi-level density of states (states/eV per atom) = 0.83
- space group = I-4m2, No. 119
- DFT total energy (eV per atom) = -5.93
- DFT formation energy (eV per atom) = 0.127


[6]
Entry from the Alexandria database: a relaxed MgCuRu2 crystal (PBE-GGA).

Lattice parameters (Å, degrees): 2.7093 2.7093 8.9366 90.00 90.00 116.33
Last column: nearest neighbours and their distance in Å.
Atoms (fractional coordinates):
Mg 0.0000 0.0000 0.0000  2 Cu 2.67, 6 Mg 2.71-2.86, 2 Ru 2.71
Cu 0.5000 0.5000 0.2518  2 Ru 2.64, 2 Mg 2.67, 6 Cu 2.71-2.86
Ru 0.0000 0.0000 0.4999  8 Ru 2.59-2.86, 2 Cu 2.64
Ru 0.5000 0.5000 0.7422  8 Ru 2.59-2.86, 2 Mg 2.71

Output
- Fermi-level density of states (states/eV per atom) = 1.04
- space group = Cmm2, No. 35
- DFT total energy (eV per atom) = -5.74
- DFT formation energy (eV per atom) = 0.322


Question: Look up the DFT formation energy of the sixth one.
Answer: 0.322 eV per atom


Question: Which value of Fermi-level density of states does entry 5 give?
Answer: 0.83 states/eV per atom


Question: Which formula does entry 6 have?
Answer: MgCuRu2


Question: Number 3 is which compound?
Answer: MgCu3Ru